No. 1
BaBeSb: relaxed, GGA-PBE.

Polymorph energy (0 for the lowest one) (meV/atom): 524.4

a = 3.731 Å, b = 3.745 Å, c = 11.899 Å
α = 90.00°, β = 90.00°, γ = 90.00°
Space group Imm2 (No. 44)
Unique sites:
Ba  0.000  0.000  0.000 x2
Be  0.000  0.000  0.287 x2
Sb  0.000  0.000  0.716 x2



No. 2
Ba2ScBeSb: relaxed, GGA-PBE.

a = 5.805 Å, b = 5.805 Å, c = 5.190 Å
α = 90.00°, β = 90.00°, γ = 90.00°
Space group P4/mmm (No. 123)
Unique sites:
Ba  0.000  0.500  0.000 x2
Sc  0.000  0.000  0.500 x1
Be  0.000  0.000  0.000 x1
Sb  0.500  0.500  0.500 x1



No. 3
BaSrBeSb2: relaxed, GGA-PBE.

a = 5.987 Å, b = 5.987 Å, c = 6.701 Å
α = 90.00°, β = 90.00°, γ = 90.00°
Space group P4/mmm (No. 123)
Unique sites:
Ba  0.000  0.000  0.000 x1
Sr  0.000  0.000  0.500 x1
Be  0.500  0.500  0.000 x1
Sb  0.000  0.500  0.500 x2



No. 4
BaBe2VSb: relaxed, GGA-PBE.

a = 4.804 Å, b = 4.804 Å, c = 5.015 Å
α = 90.00°, β = 90.00°, γ = 90.00°
Space group P4/mmm (No. 123)
Unique sites:
Ba  0.000  0.000  0.000 x1
Be  0.000  0.500  0.500 x2
V  0.500  0.500  0.500 x1
Sb  0.500  0.500  0.000 x1



No. 5
BaBeZn2Sb: relaxed, GGA-PBE.

a = 5.269 Å, b = 5.269 Å, c = 6.754 Å
α = 90.00°, β = 90.00°, γ = 90.00°
Space group P4/mmm (No. 123)
Unique sites:
Ba  0.000  0.000  0.000 x1
Be  0.500  0.500  0.000 x1
Zn  0.000  0.500  0.500 x2
Sb  0.000  0.000  0.500 x1



No. 6
Ba2ScBe: relaxed, GGA-PBE.

Formation energy from the elements (eV per atom): 0.696

a = 3.9278 Å, b = 3.9278 Å, c = 32.4711 Å
α = 90.00°, β = 90.00°, γ = 120.00°
Space group R-3m (No. 166, hexagonal axes)
Unique sites:
Ba  0.0000  0.0000  0.2391 x6
Sc  0.0000  0.0000  0.0000 x3
Be  0.0000  0.0000  0.5000 x3



No. 7
Ba2ScBe: relaxed, GGA-PBE.

Formation energy from the elements (eV per atom): 0.604

a = 8.215 Å, b = 8.233 Å, c = 4.095 Å
α = 90.00°, β = 90.00°, γ = 90.00°
Space group Cmmm (No. 65)
Unique sites:
Ba  0.250  0.250  0.000 x4
Sc  0.000  0.000  0.500 x2
Be  0.000  0.500  0.500 x2



No. 8
Ba2ScBe: relaxed, GGA-PBE.

Formation energy from the elements (eV per atom): 0.469

a = 4.173 Å, b = 4.665 Å, c = 7.998 Å
α = 90.00°, β = 105.10°, γ = 90.00°
Space group Pm (No. 6)
Unique sites:
Ba  0.000  0.000  0.000 x1
Ba  0.292  0.500  0.587 x1
Sc  0.681  0.000  0.366 x1
Be  0.604  0.500  0.207 x1



No. 9
BaScBe4: relaxed, GGA-PBE.

Formation energy from the elements (eV per atom): 0.442

a = 7.274 Å, b = 7.274 Å, c = 7.274 Å
α = 90.00°, β = 90.00°, γ = 90.00°
Space group F-43m (No. 216)
Unique sites:
Ba  0.000  0.000  0.000 x4
Sc  0.250  0.250  0.250 x4
Be  0.114  0.114  0.614 x16



No. 10
Ba3ScBe: relaxed, GGA-PBE.

Polymorph energy (0 for the lowest one) (meV/atom): 0.0
Formation energy from the elements (eV per atom): 0.651

a = 6.212 Å, b = 6.212 Å, c = 6.212 Å
α = 90.00°, β = 90.00°, γ = 90.00°
Space group Pm-3m (No. 221)
Unique sites:
Ba  0.000  0.000  0.500 x3
Sc  0.500  0.500  0.500 x1
Be  0.000  0.000  0.000 x1



No. 11
Ba2ScBe: relaxed, GGA-PBE.

Formation energy from the elements (eV per atom): 0.386

a = 3.603 Å, b = 4.217 Å, c = 18.855 Å
α = 90.00°, β = 90.00°, γ = 90.00°
Space group Immm (No. 71)
Unique sites:
Ba  0.000  0.000  0.151 x4
Sc  0.000  0.500  0.000 x2
Be  0.000  0.500  0.500 x2



No. 12
Ba2ScBe: relaxed, GGA-PBE.

Formation energy from the elements (eV per atom): 0.678

a = 7.961 Å, b = 7.961 Å, c = 7.961 Å
α = 90.00°, β = 90.00°, γ = 90.00°
Space group F-43m (No. 216)
Unique sites:
Ba  0.000  0.000  0.000 x4
Ba  0.250  0.250  0.250 x4
Sc  0.000  0.000  0.500 x4
Be  0.250  0.250  0.750 x4



Calculated mass density, 5.36, 4.28, 3.30, 4.71, 3.53, 3.77, 3.94, 3.63, 3.77, 3.23, 3.81, 4.33 g/cm3 (same order as the records).
Calculated DFT total energy, -3.21, -3.52, -2.26, -4.18, -1.84, -2.78, -2.87, -3.01, -3.42, -2.51, -3.09, -2.80 eV per atom (same order as the records).
Calculated size of the total moment, 0.00, 0.00, 0.00, 0.34, 0.00, 1.64, 0.00, 0.55, 0.00, 1.37, 0.00, 4.05 μB/cell (same order as the records).